Below is AcTaTl2O8 after structural relaxation, with properties calculated at the GGA-PBE level.

Calculated values
Calculated volume in A^3/atom: 15.06
Uncorrected formation energy in eV/atom: -1.66

The structure in POSCAR format:
```
AcTaTl2O8
1.0
-1.582 -0.757 4.920
4.355 -0.081 1.715
-0.272 7.332 1.040
Tl O Ta Ac
2 8 1 1
direct
0.500 0.500 0.789
0.500 0.500 0.211
0.533 0.842 0.500
0.467 0.158 0.500
0.301 0.235 0.000
0.850 0.233 0.211
0.699 0.765 0.000
0.150 0.767 0.211
0.850 0.233 0.789
0.150 0.767 0.789
0.000 0.000 0.000
0.000 0.000 0.500
```